Record 1
Sr3Li | PBE-GGA | optimized geometry

Results
VASP energy, eV per atom: -1.639
Formation energy, eV/atom: 0.101
Energy relative to the lowest polymorph listed for this composition, eV/atom: 0.061
Fermi-level density of states, states/eV/f.u.: 3.50

Structure (POSCAR):
```
Sr3Li
1.0
0.0000 4.5645 4.5645
4.5645 0.0000 4.5645
4.5645 4.5645 0.0000
Sr Li
3 1
Cartesian
0.0000 0.0000 0.0000
2.2822 2.2822 2.2822
6.8467 6.8467 6.8467
4.5645 4.5645 4.5645
```


Record 2
AcZn3Ir2 | PBE-GGA | optimized geometry

Results
VASP energy, eV per atom: -4.650
Formation energy, eV/atom: -0.374
Energy relative to the lowest polymorph listed for this composition, eV/atom: 0.022
Fermi-level density of states, states/eV/f.u.: 2.35

Structure (POSCAR):
```
AcZn3Ir2
1.0
7.9124 -2.1092 0.0000
7.9124 2.1092 0.0000
-3.4500 0.0000 7.0182
Ac Zn Ir
2 6 4
Cartesian
2.1845 0.0000 0.4938
10.1903 0.0000 6.5244
-0.7607 0.0000 2.5625
3.0947 0.0000 3.8316
5.2912 0.0000 2.3186
7.0836 0.0000 4.6997
9.2801 0.0000 3.1867
13.1355 0.0000 4.4557
0.6685 0.0000 4.7243
4.7741 0.0000 5.8266
7.6007 0.0000 1.1917
11.7062 0.0000 2.2939
```


Record 3
BeGeAu2O | PBE-GGA | optimized geometry

Results
VASP energy, eV per atom: -3.345
Fermi-level density of states, states/eV/f.u.: 1.98
Formation energy without anion corrections, meV/atom: 627

Structure (POSCAR):
```
BeGeAu2O
1.0
4.5401 0.0000 0.0000
0.0000 4.5401 0.0000
0.0000 0.0000 4.2419
Be Ge Au O
1 1 2 1
Cartesian
0.0000 0.0000 0.0000
2.2701 2.2701 0.0000
0.0000 2.2701 2.1209
2.2701 0.0000 2.1209
2.2701 2.2701 2.1209
```


Record 4
LiIn2Cu6 | PBE-GGA | optimized geometry

Results
VASP energy, eV per atom: -3.370
Formation energy, eV/atom: 0.182
Fermi-level density of states, states/eV/f.u.: 3.76

Structure (POSCAR):
```
LiIn2Cu6
1.0
0.0000 4.0490 4.0490
4.0490 0.0000 4.0490
4.0490 4.0490 0.0000
Li In Cu
1 2 6
Cartesian
0.0000 0.0000 0.0000
2.0245 2.0245 2.0245
6.0734 6.0734 6.0734
4.0490 4.0490 2.2641
4.0490 2.2641 4.0490
5.8338 4.0490 4.0490
2.2641 4.0490 4.0490
4.0490 5.8338 4.0490
4.0490 4.0490 5.8338
```


no.,V (Å³ per cell)
1,190
2,234
3,87
4,133